# 1
Computed, not measured: KAlInI2 at its PBEsol-relaxed geometry at the meta-GGA SCAN level of DFT.

Summary:
E_form (uncorrected), meV per atom: 35
Density of states at the Fermi level, states/eV per cell: 3.8
Size of the total moment, μB/f.u.: 0.009

a b c (Å): 5.8626 5.8626 6.1151
angles (deg): 90.00 90.00 90.00
Fractional positions:
Al 0.0000 0.0000 0.0000
I 0.0000 0.5000 0.0000
K 0.0000 0.0000 0.5000
I 0.5000 0.0000 0.0000
In 0.5000 0.5000 0.5000

---

# 2
Computed, not measured: ScMnCl2 at its PBEsol-relaxed geometry at the meta-GGA SCAN level of DFT.

Summary:
E_form (uncorrected), meV per atom: -1003
Density of states at the Fermi level, states/eV per cell: 0.9
Size of the total moment, μB/f.u.: 3.990
Energy above the most stable polymorph in this dataset, eV per atom: 0.033

a b c (Å): 3.1231 4.3291 6.4491
angles (deg): 109.61 104.01 90.00
Fractional positions:
Mn 0.5617 0.5617 0.1235
Cl 0.9439 0.9439 0.8878
Sc 0.2651 0.7651 0.5302
Cl 0.7293 0.2293 0.4585

---

# 3
Computed, not measured: LiLaSe2 at its PBEsol-relaxed geometry at the meta-GGA SCAN level of DFT.

Summary:
E_form (uncorrected), meV per atom: -1886
Size of the total moment, μB/f.u.: 0.000

a b c (Å): 4.2320 4.2320 5.7594
angles (deg): 90.00 90.00 90.00
Fractional positions:
Se 0.0000 0.0000 0.5000
Li 0.5000 0.5000 0.5000
Se 0.5000 0.5000 0.0000
La 0.0000 0.0000 0.0000

---

# 4
Computed, not measured: La2RhCl at its PBEsol-relaxed geometry at the meta-GGA SCAN level of DFT.

Summary:
E_form (uncorrected), meV per atom: -1065
Density of states at the Fermi level, states/eV per cell: 3.8
Size of the total moment, μB/f.u.: 0.003
Energy above the most stable polymorph in this dataset, eV per atom: 0.411

a b c (Å): 3.4457 5.0967 5.0967
angles (deg): 92.28 90.00 90.00
Fractional positions:
Cl 0.5000 0.5000 0.5000
La 0.0000 0.0000 0.5000
La 0.0000 0.5000 0.0000
Rh 0.5000 0.0000 0.0000

---

# 5
Computed, not measured: BaSiSb2 at its PBEsol-relaxed geometry at the meta-GGA SCAN level of DFT.

Summary:
E_form (uncorrected), meV per atom: -322
Density of states at the Fermi level, states/eV per cell: 1.2
Size of the total moment, μB/f.u.: 0.000

a b c (Å): 4.0156 5.7237 5.8541
angles (deg): 109.06 90.00 110.54
Fractional positions:
Sb 0.7675 0.5351 0.2570
Si 0.4720 0.9440 0.3951
Ba 0.2399 0.4797 0.7358
Sb 0.0206 0.0411 0.1120

---

# 6
Computed, not measured: MnBe2Hg at its PBEsol-relaxed geometry at the meta-GGA SCAN level of DFT.

Summary:
Density of states at the Fermi level, states/eV per cell: 2.5
Size of the total moment, μB/f.u.: 2.907
DFT total energy, eV/atom: -23.340

a b c (Å): 5.2001 5.2001 5.2001
angles (deg): 104.34 104.34 120.30
Fractional positions:
Mn 0.5000 0.5000 0.0000
Be 0.3862 0.3750 0.5112
Hg 0.0000 0.0000 0.0000
Mn 0.7500 0.2500 0.5000
Be 0.6250 0.1362 0.0112
Be 0.1250 0.6138 0.9888
Hg 0.2500 0.7500 0.5000
Be 0.8638 0.8750 0.4888

---

# 7
Computed, not measured: CaMnNi2 at its PBEsol-relaxed geometry at the meta-GGA SCAN level of DFT.

Summary:
Density of states at the Fermi level, states/eV per cell: 1.4
Size of the total moment, μB/f.u.: 5.099
DFT total energy, eV/atom: -15.017

a b c (Å): 4.3616 4.3616 4.3616
angles (deg): 60.00 60.00 60.00
Fractional positions:
Ca 0.5000 0.5000 0.5000
Ni 0.7500 0.7500 0.7500
Ni 0.2500 0.2500 0.2500
Mn 0.0000 0.0000 0.0000

---

# 8
Computed, not measured: LaCu2Ir at its PBEsol-relaxed geometry at the meta-GGA SCAN level of DFT.

Summary:
Density of states at the Fermi level, states/eV per cell: 0.9
Size of the total moment, μB/f.u.: 0.000
Energy above the most stable polymorph in this dataset, eV per atom: 0.344

a b c (Å): 4.6245 4.6245 4.6245
angles (deg): 60.00 60.00 60.00
Fractional positions:
Ir 0.5000 0.5000 0.5000
Cu 0.0000 0.0000 0.0000
La 0.2500 0.2500 0.2500
Cu 0.7500 0.7500 0.7500

---

# 9
Computed, not measured: CrCdOs2 at its PBEsol-relaxed geometry at the meta-GGA SCAN level of DFT.

Summary:
Density of states at the Fermi level, states/eV per cell: 3.1
Size of the total moment, μB/f.u.: 2.320
DFT total energy, eV/atom: -47.539

a b c (Å): 2.9001 4.5011 4.5591
angles (deg): 90.00 90.00 90.00
Fractional positions:
Os 0.5000 0.0000 0.5000
Os 0.0000 0.0000 0.0000
Cr 0.0000 0.5000 0.5000
Cd 0.5000 0.5000 0.0000

---

# 10
Computed, not measured: K6Se2O9 at its PBEsol-relaxed geometry at the meta-GGA SCAN level of DFT.

Summary:
E_form (uncorrected), meV per atom: -1540
Density of states at the Fermi level, states/eV per cell: 0.0
Size of the total moment, μB/f.u.: 0.099

a b c (Å): 8.1185 8.1185 17.3860
angles (deg): 90.00 90.00 90.00
Fractional positions:
K 0.4579 0.5009 0.6469
K 0.9965 0.5253 0.8725
K 0.4965 0.9747 0.8775
Se 0.7658 0.7658 0.5000
K 0.5421 0.4991 0.1469
Se 0.2342 0.2342 0.0000
O 0.0446 0.2995 0.5020
O 0.7644 0.4658 0.7328
O 0.2535 0.2598 0.3955
O 0.2005 0.5446 0.7520
O 0.4554 0.7995 0.7480
K 0.0009 0.0421 0.3969
K 0.9747 0.4965 0.1225
O 0.7995 0.4554 0.2520
K 0.0253 0.5035 0.6225
O 0.2465 0.7598 0.8545
Se 0.7453 0.7453 0.0000
O 0.0342 0.2644 0.9828
Se 0.2453 0.7547 0.7500
O 0.4070 0.4070 0.5000
O 0.2995 0.0446 0.4980
K 0.5253 0.9965 0.1275
O 0.0930 0.9070 0.7500
K 0.2246 0.2069 0.2452
K 0.9579 0.9991 0.1031
O 0.9554 0.7005 0.0020
O 0.7465 0.7402 0.8955
O 0.1560 0.7871 0.3271
K 0.7246 0.2931 0.5048
K 0.7069 0.2754 0.9952
K 0.5035 0.0253 0.3775
O 0.6560 0.7129 0.4229
O 0.5930 0.5930 0.0000
O 0.5342 0.2356 0.7672
O 0.7005 0.9554 0.9980
O 0.2356 0.5342 0.2328
K 0.4747 0.0035 0.6275
K 0.7931 0.7754 0.2548
O 0.2871 0.3440 0.0771
O 0.7871 0.1560 0.6729
O 0.8440 0.2129 0.8271
O 0.7402 0.7465 0.1045
O 0.7129 0.6560 0.5771
O 0.2644 0.0342 0.0172
O 0.2402 0.7535 0.6455
O 0.4658 0.7644 0.2672
K 0.9991 0.9579 0.8969
O 0.3440 0.2871 0.9229
Se 0.2547 0.2547 0.5000
K 0.4991 0.5421 0.8531
K 0.7754 0.7931 0.7452
O 0.7535 0.2402 0.3545
K 0.2931 0.7246 0.4952
Se 0.7547 0.2453 0.2500
O 0.7356 0.9658 0.5172
O 0.5446 0.2005 0.2480
K 0.2754 0.7069 0.0048
O 0.9658 0.7356 0.4828
K 0.0035 0.4747 0.3725
O 0.9070 0.0930 0.2500
K 0.5009 0.4579 0.3531
O 0.7598 0.2465 0.1455
Se 0.7342 0.2658 0.7500
O 0.2598 0.2535 0.6045
Se 0.2658 0.7342 0.2500
O 0.2129 0.8440 0.1729
K 0.2069 0.2246 0.7548
K 0.0421 0.0009 0.6031

---

# 11
Computed, not measured: Zn2Ir at its PBEsol-relaxed geometry at the meta-GGA SCAN level of DFT.

Summary:
Density of states at the Fermi level, states/eV per cell: 1.1
Size of the total moment, μB/f.u.: 0.000
DFT total energy, eV/atom: -32.984

a b c (Å): 2.7928 4.2216 4.2216
angles (deg): 90.00 90.00 90.00
Fractional positions:
Zn 0.0000 0.0000 0.5000
Zn 0.0000 0.5000 0.0000
Ir 0.5000 0.0000 0.0000

---

# 12
Computed, not measured: BaSr4Ti5O15 at its PBEsol-relaxed geometry at the meta-GGA SCAN level of DFT.

Summary:
E_form (uncorrected), meV per atom: -3447
Density of states at the Fermi level, states/eV per cell: 0.0
Size of the total moment, μB/f.u.: 0.000

a b c (Å): 3.9160 3.9160 19.5823
angles (deg): 90.00 90.00 90.00
Fractional positions:
O 0.5000 0.5000 0.4007
Ti 0.5000 0.5000 0.6986
O 0.5000 0.0000 0.6984
O 0.0000 0.5000 0.1046
O 0.5000 0.5000 0.0000
O 0.5000 0.5000 0.2022
Sr 0.0000 0.0000 0.4007
Ti 0.5000 0.5000 0.5000
O 0.5000 0.0000 0.3016
O 0.5000 0.0000 0.1046
O 0.5000 0.0000 0.8954
O 0.0000 0.5000 0.3016
Sr 0.0000 0.0000 0.5993
O 0.0000 0.5000 0.6984
Sr 0.0000 0.0000 0.7978
O 0.5000 0.5000 0.5993
Ti 0.5000 0.5000 0.3014
O 0.5000 0.5000 0.7978
O 0.0000 0.5000 0.8954
Ti 0.5000 0.5000 0.8969
Ba 0.0000 0.0000 0.0000
Ti 0.5000 0.5000 0.1031
O 0.0000 0.5000 0.5000
Sr 0.0000 0.0000 0.2022
O 0.5000 0.0000 0.5000

---

# 13
Computed, not measured: Tb3P4Pd7 at its PBEsol-relaxed geometry at the meta-GGA SCAN level of DFT.

Summary:
Density of states at the Fermi level, states/eV per cell: 7.9
Size of the total moment, μB/f.u.: 0.000
DFT total energy, eV/atom: -30.462

a b c (Å): 3.9482 7.8377 8.1042
angles (deg): 71.20 75.90 75.41
Fractional positions:
Pd 0.3062 0.3595 0.0280
P 0.8936 0.3922 0.8207
Tb 0.0000 0.0000 0.0000
P 0.3404 0.0645 0.2546
Pd 0.4897 0.7357 0.2849
Tb 0.6801 0.3169 0.3228
Pd 0.8324 0.9130 0.4222
P 0.1064 0.6078 0.1793
Tb 0.3199 0.6831 0.6772
Pd 0.6938 0.6405 0.9720
P 0.6596 0.9355 0.7454
Pd 0.5103 0.2643 0.7151
Pd 0.1676 0.0870 0.5778
Pd 0.0000 0.5000 0.5000

---

# 14
Computed, not measured: Y3SbPb at its PBEsol-relaxed geometry at the meta-GGA SCAN level of DFT.

Summary:
E_form (uncorrected), meV per atom: -295
Density of states at the Fermi level, states/eV per cell: 3.3
Size of the total moment, μB/f.u.: 0.000
Energy above the most stable polymorph in this dataset, eV per atom: 0.000

a b c (Å): 5.5682 5.5682 5.5682
angles (deg): 90.00 90.00 90.00
Fractional positions:
Y 0.0000 0.0000 0.5000
Sb 0.0000 0.0000 0.0000
Pb 0.5000 0.5000 0.5000
Y 0.0000 0.5000 0.0000
Y 0.5000 0.0000 0.0000

---

# 15
Computed, not measured: InFePbF2 at its PBEsol-relaxed geometry at the meta-GGA SCAN level of DFT.

Summary:
E_form (uncorrected), meV per atom: -832
Density of states at the Fermi level, states/eV per cell: 2.3
Size of the total moment, μB/f.u.: 3.137

a b c (Å): 4.1555 4.1555 5.6413
angles (deg): 90.00 90.00 90.00
Fractional positions:
F 0.5000 0.0000 0.0000
Fe 0.0000 0.0000 0.5000
In 0.0000 0.0000 0.0000
Pb 0.5000 0.5000 0.5000
F 0.0000 0.5000 0.0000

---

# 16
Computed, not measured: ZrCd2Hg at its PBEsol-relaxed geometry at the meta-GGA SCAN level of DFT.

Summary:
Density of states at the Fermi level, states/eV per cell: 2.4
Size of the total moment, μB/f.u.: 0.000
DFT total energy, eV/atom: -39.978

a b c (Å): 3.0356 4.3601 6.2573
angles (deg): 90.00 90.00 90.00
Fractional positions:
Zr 0.5000 0.5000 0.5000
Hg 0.5000 0.5000 0.0000
Cd 0.0000 0.0000 0.7469
Cd 0.0000 0.0000 0.2531

---

# 17
Computed, not measured: La2AsIr at its PBEsol-relaxed geometry at the meta-GGA SCAN level of DFT.

Summary:
Density of states at the Fermi level, states/eV per cell: 0.7
Size of the total moment, μB/f.u.: 0.000
DFT total energy, eV/atom: -45.504

a b c (Å): 4.2222 4.2222 5.9876
angles (deg): 90.00 90.00 90.00
Fractional positions:
Ir 0.5000 0.5000 0.8813
As 0.0000 0.0000 0.3805
La 0.0000 0.0000 0.8797
La 0.5000 0.5000 0.3586

---

# 18
Computed, not measured: BaFe2Mo at its PBEsol-relaxed geometry at the meta-GGA SCAN level of DFT.

Summary:
Density of states at the Fermi level, states/eV per cell: 3.1
Size of the total moment, μB/f.u.: 4.333
Energy above the most stable polymorph in this dataset, eV per atom: 0.120

a b c (Å): 3.1317 3.1317 7.5530
angles (deg): 90.00 90.00 90.00
Fractional positions:
Fe 0.5000 0.5000 0.2421
Mo 0.0000 0.0000 0.4004
Fe 0.0000 0.0000 0.0962
Ba 0.5000 0.5000 0.7612

---

# 19
Computed, not measured: CdPt2W at its PBEsol-relaxed geometry at the meta-GGA SCAN level of DFT.

Summary:
Density of states at the Fermi level, states/eV per cell: 2.3
Size of the total moment, μB/f.u.: 0.952
DFT total energy, eV/atom: -59.880

a b c (Å): 4.0122 3.9887 3.9887
angles (deg): 90.00 90.00 90.00
Fractional positions:
Pt 0.0000 0.0000 0.5000
Cd 0.5000 0.0000 0.0000
W 0.5000 0.5000 0.5000
Pt 0.0000 0.5000 0.0000

---

# 20
Computed, not measured: K2LiC2 at its PBEsol-relaxed geometry at the meta-GGA SCAN level of DFT.

Summary:
Density of states at the Fermi level, states/eV per cell: 2.2
Size of the total moment, μB/f.u.: 0.936
DFT total energy, eV/atom: -7.349

a b c (Å): 5.0635 5.0635 5.0635
angles (deg): 108.42 108.42 111.59
Fractional positions:
Li 0.0000 0.0000 0.0000
C 0.6139 0.6139 0.0000
C 0.3861 0.3861 0.0000
K 0.7500 0.2500 0.5000
K 0.2500 0.7500 0.5000